--- 1 ---
Computed, not measured: a relaxed structure of MnFeMo at the PBE-GGA level of DFT.

abc: 6.463 6.306 2.594
angles: 81.69 74.90 23.40
Fractional coordinates of all 3 atoms:
Fe 0.995 0.995 0.005
Mn 0.338 0.338 0.662
Mo 0.667 0.667 0.333

Calculated values
space-group type	Fmm2

***

--- 2 ---
Computed, not measured: a relaxed structure of MnFeMo at the PBE-GGA level of DFT.

abc: 3.992 3.992 3.992
angles: 60.00 60.00 60.00
Fractional coordinates of all 3 atoms:
Fe 0.750 0.750 0.750
Mn 0.000 0.000 0.000
Mo 0.500 0.500 0.500

Calculated values
space-group type	F-43m

***

--- 3 ---
Computed, not measured: a relaxed structure of MnFeMo at the PBE-GGA level of DFT.

abc: 4.170 4.170 2.587
angles: 90.00 90.00 120.00
Fractional coordinates of all 3 atoms:
Fe 0.000 0.000 0.997
Mn 0.333 0.667 0.339
Mo 0.667 0.333 0.664

Calculated values
space-group type	P3m1

***

--- 4 ---
Computed, not measured: a relaxed structure of MnFeMo at the PBE-GGA level of DFT.

abc: 4.712 4.712 11.884
angles: 78.57 78.57 60.00
Fractional coordinates of all 18 atoms:
Mo 0.737 0.737 0.790
Mo 0.263 0.263 0.210
Mo 0.041 0.041 0.878
Mo 0.959 0.959 0.122
Mo 0.182 0.182 0.454
Mo 0.818 0.818 0.546
Fe 0.211 0.728 0.334
Fe 0.728 0.211 0.334
Fe 0.728 0.728 0.334
Fe 0.789 0.272 0.666
Fe 0.272 0.789 0.666
Fe 0.272 0.272 0.666
Mn 0.390 0.390 0.829
Mn 0.610 0.610 0.171
Mn 0.000 0.500 0.000
Mn 0.500 0.000 0.000
Mn 0.500 0.500 0.000
Mn 0.500 0.500 0.500

Calculated values
space-group type	R-3m

***

Tell me which of them is the least stable. Sure, it is 2.

***

--- 1 ---
Computed, not measured: a relaxed structure of MnFeMo at the PBE-GGA level of DFT.

abc: 4.716 4.716 4.716
angles: 89.63 119.82 120.61
Fractional coordinates of all 6 atoms:
Mn 0.000 0.500 0.500
Mn 0.500 0.000 0.500
Fe 0.500 0.500 0.500
Fe 0.000 0.500 0.000
Mo 0.250 0.126 0.876
Mo 0.750 0.874 0.124

Calculated values
space-group type	Imma

***

--- 2 ---
Computed, not measured: a relaxed structure of MnFeMo at the PBE-GGA level of DFT.

abc: 3.636 3.615 6.061
angles: 90.00 107.45 90.00
Fractional coordinates of all 6 atoms:
Mn 0.590 0.250 0.181
Mn 0.410 0.750 0.819
Fe 0.248 0.250 0.496
Fe 0.752 0.750 0.504
Mo 0.908 0.250 0.816
Mo 0.092 0.750 0.184

Calculated values
space-group type	Cmcm

***

--- 3 ---
Computed, not measured: a relaxed structure of MnFeMo at the PBE-GGA level of DFT.

abc: 6.056 6.056 6.056
angles: 155.48 155.48 34.95
Fractional coordinates of all 3 atoms:
Fe 0.986 0.986 0.000
Mn 0.348 0.348 0.000
Mo 0.666 0.666 0.000

Calculated values
space-group type	I4mm

***

--- 4 ---
Computed, not measured: a relaxed structure of MnFeMo at the PBE-GGA level of DFT.

abc: 4.805 4.805 4.805
angles: 143.46 143.46 52.64
Fractional coordinates of all 3 atoms:
Fe 0.998 0.998 0.000
Mn 0.336 0.336 0.000
Mo 0.666 0.666 0.000

Calculated values
space-group type	I4mm

***

Tell me which of them is the least stable. Sure, it is 2.

***

--- 1 ---
Computed, not measured: a relaxed structure of MnFeMo2N at the PBE-GGA level of DFT.

abc: 4.069 4.069 3.674
angles: 90.00 90.00 90.00
Fractional coordinates of all 5 atoms:
Mo 0.000 0.500 0.000
Mo 0.500 0.000 0.000
Mn 0.500 0.500 0.500
Fe 0.000 0.000 0.500
N 0.000 0.000 0.000

Calculated values
space-group type	P4/mmm

***

--- 2 ---
Computed, not measured: a relaxed structure of MnFeMo2N at the PBE-GGA level of DFT.

abc: 4.114 4.114 3.763
angles: 90.00 90.00 90.00
Fractional coordinates of all 5 atoms:
Mo 0.000 0.500 0.000
Mo 0.500 0.000 0.000
Mn 0.000 0.000 0.500
Fe 0.500 0.500 0.500
N 0.000 0.000 0.000

Calculated values
space-group type	P4/mmm

***

Tell me which of them is the least stable. Sure, it is 1.

***

--- 1 ---
Computed, not measured: a relaxed structure of Mn2FeMoN at the PBE-GGA level of DFT.

abc: 3.751 3.751 4.081
angles: 90.00 90.00 90.00
Fractional coordinates of all 5 atoms:
Mo 0.000 0.000 0.500
Mn 0.000 0.500 0.000
Mn 0.500 0.000 0.000
Fe 0.500 0.500 0.500
N 0.000 0.000 0.000

Calculated values
space-group type	P4/mmm

***

--- 2 ---
Computed, not measured: a relaxed structure of Mn2FeMoN at the PBE-GGA level of DFT.

abc: 3.795 3.795 3.762
angles: 90.00 90.00 90.00
Fractional coordinates of all 5 atoms:
Mo 0.500 0.500 0.500
Mn 0.000 0.500 0.000
Mn 0.500 0.000 0.000
Fe 0.000 0.000 0.500
N 0.000 0.000 0.000

Calculated values
space-group type	P4/mmm

***

Tell me which of them is the least stable. Sure, it is 2.